Run 1
CrGaRu3 after structural relaxation. Source: Alexandria via LeMat-Bulk, functional GGA-PBE.

```
CrGaRu3
1.0
4.426 0.000 0.000
0.000 4.426 0.000
0.000 0.000 4.426
Ga Ru Cr
1 3 1
Direct
0.000 0.000 0.000 Ga
0.000 0.500 0.000 Ru
0.500 0.000 0.000 Ru
0.000 0.000 0.500 Ru
0.500 0.500 0.500 Cr
```

**Density**: 8.138 Mg/m³

=====

Run 2
CrGaRu3 after structural relaxation. Source: Alexandria via LeMat-Bulk, functional GGA-PBE.

```
CrGaRu3
1.0
4.415 0.000 0.000
0.000 4.415 0.000
0.000 0.000 4.415
Cr Ru Ga
1 3 1
Direct
0.000 0.000 0.000 Cr
0.500 0.000 0.000 Ru
0.000 0.000 0.500 Ru
0.000 0.500 0.000 Ru
0.500 0.500 0.500 Ga
```

**Density**: 8.199 Mg/m³

=====

Which structure loses on stability? run 1 does.